DFT (PBE-GGA) results for an optimized crystal structure of Ag6Te3I.

abc: 10.6472 14.4075 7.2541
angles: 90.00 90.00 90.00
Closest atoms and distances in Å follow each position.
Space group Cmc2_1 (No. 36)
Symmetry-distinct sites (fractional):
Ag (0.0000, 0.0280, 0.0000) (multiplicity 4)  1 I 2.77, 2 Te 2.78, 1 Ag 2.83
Ag (0.0000, 0.2047, 0.8291) (multiplicity 4)  3 Te 2.78-2.99, 1 Ag 2.83, 1 I 2.85
Ag (0.1418, 0.4875, 0.2288) (multiplicity 8)  4 Te 2.85-2.89, 2 Ag 2.90-3.02
Ag (0.2300, 0.3023, 0.1408) (multiplicity 8)  3 Te 2.82-3.05, 1 Ag 2.90
Te (0.0000, 0.3871, 0.9560) (multiplicity 4)  7 Ag 2.78-3.05
Te (0.2288, 0.1205, 0.9985) (multiplicity 8)  6 Ag 2.78-2.99
I (0.0000, 0.1624, 0.4458) (multiplicity 4)  2 Ag 2.77-2.85

Calculated values
Mass density: 6.9 g/cm³
Formation energy without anion corrections: -0.048 eV/atom
Volume: 27.82 Å³/atom
Final energy: -2.86 eV per atom